No. 1
Density functional theory data (PBEsol) for a relaxed CdCuRh2 crystal.

Properties
Density of states at the Fermi level in states/eV per cell: 14.52
E_tot in eV for the cell shown: -64.153
Formation enthalpy at 0 K in eV per atom: 0.106

a = 2.7585 Å, b = 2.7585 Å, c = 26.0129 Å
α = 90.00°, β = 90.00°, γ = 120.00°
Last column: nearest neighbours and their distance in Å.
Space group R-3m (No. 166, hexagonal axes)
Inequivalent atoms, fractional coordinates:
Cd  0.0000  0.0000  0.0000 x3  6 Cd 2.76, 6 Rh 2.81
Cu  0.0000  0.0000  0.5000 x3  6 Rh 2.57, 6 Cu 2.76
Rh  0.0000  0.0000  0.2443 x6  3 Cu 2.57, 6 Rh 2.76, 3 Cd 2.81

***

No. 2
Density functional theory data (PBEsol) for a relaxed CdCu2Rh crystal.

Properties
Density of states at the Fermi level in states/eV per cell: 2.44
E_tot in eV for the cell shown: -17.862
Formation enthalpy at 0 K in eV per atom: 0.036

a = 2.9658 Å, b = 2.9658 Å, c = 6.2561 Å
α = 90.00°, β = 90.00°, γ = 90.00°
Last column: nearest neighbours and their distance in Å.
Space group P4mm (No. 99)
Inequivalent atoms, fractional coordinates:
Cd  0.0000  0.0000  0.0000 x1  5 Cu 2.72-3.01, 4 Rh 2.77, 4 Cd 2.97
Cu  0.0000  0.0000  0.4806 x1  4 Cu 2.45, 4 Rh 2.54
Cu  0.5000  0.5000  0.2779 x1  4 Cu 2.45, 1 Rh 2.71, 4 Cd 2.72
Rh  0.5000  0.5000  0.7109 x1  5 Cu 2.54-2.71, 4 Cd 2.77

***

No. 3
Density functional theory data (PBEsol) for a relaxed CdCu2Rh crystal.

Properties
Density of states at the Fermi level in states/eV per cell: 2.42
E_tot in eV for the cell shown: -17.956
Formation enthalpy at 0 K in eV per atom: 0.012

a = 3.8500 Å, b = 3.8500 Å, c = 3.7141 Å
α = 90.00°, β = 90.00°, γ = 90.00°
Last column: nearest neighbours and their distance in Å.
Space group P4/mmm (No. 123)
Inequivalent atoms, fractional coordinates:
Cd  0.0000  0.0000  0.0000 x1  8 Cu 2.67, 4 Rh 2.72
Cu  0.0000  0.5000  0.5000 x2  4 Cd 2.67, 4 Rh 2.67, 4 Cu 2.72
Rh  0.5000  0.5000  0.0000 x1  8 Cu 2.67, 4 Cd 2.72

***

No. 4
Density functional theory data (PBEsol) for a relaxed CdCuRh2 crystal.

Properties
Density of states at the Fermi level in states/eV per cell: 9.40
E_tot in eV for the cell shown: -43.177
Formation enthalpy at 0 K in eV per atom: 0.055

a = 8.9753 Å, b = 2.7485 Å, c = 4.7198 Å
α = 90.00°, β = 101.48°, γ = 90.00°
Last column: nearest neighbours and their distance in Å.
Space group C2/m (No. 12)
Inequivalent atoms, fractional coordinates:
Cd  0.0000  0.0000  0.0000 x2  6 Rh 2.72-2.78, 4 Cu 2.73, 2 Cd 2.75
Cu  0.0000  0.5000  0.5000 x2  6 Rh 2.62-2.75, 4 Cd 2.73, 2 Cu 2.75
Rh  0.2418  0.0000  0.7310 x4  6 Rh 2.61-2.87, 3 Cu 2.62-2.75, 3 Cd 2.72-2.78

***

No. 5
Density functional theory data (PBEsol) for a relaxed CdCuRh2 crystal.

Properties
Density of states at the Fermi level in states/eV per cell: 4.18
E_tot in eV for the cell shown: -21.625
Formation enthalpy at 0 K in eV per atom: 0.046

a = 2.7705 Å, b = 2.7705 Å, c = 7.4594 Å
α = 90.00°, β = 90.00°, γ = 90.00°
Last column: nearest neighbours and their distance in Å.
Space group P4mm (No. 99)
Inequivalent atoms, fractional coordinates:
Cd  0.0000  0.0000  0.0000 x1  4 Cu 2.76, 4 Cd 2.77, 4 Rh 2.85
Cu  0.5000  0.5000  0.2613 x1  4 Rh 2.60, 4 Cd 2.76, 4 Cu 2.77
Rh  0.0000  0.0000  0.4911 x1  4 Cu 2.60, 8 Rh 2.61-2.77
Rh  0.5000  0.5000  0.7232 x1  8 Rh 2.61-2.77, 4 Cd 2.85

***

No. 6
Density functional theory data (PBEsol) for a relaxed CdCu2Rh crystal.

Properties
Density of states at the Fermi level in states/eV per cell: 3.74
E_tot in eV for the cell shown: -35.752
Formation enthalpy at 0 K in eV per atom: 0.032

a = 3.9915 Å, b = 3.9915 Å, c = 6.8924 Å
α = 90.00°, β = 90.00°, γ = 90.00°
Last column: nearest neighbours and their distance in Å.
Space group I4/mmm (No. 139)
Inequivalent atoms, fractional coordinates:
Cd  0.0000  0.0000  0.0000 x2  8 Cu 2.64, 4 Rh 2.82
Cu  0.0000  0.5000  0.2500 x4  4 Rh 2.64, 4 Cd 2.64, 4 Cu 2.82
Rh  0.0000  0.0000  0.5000 x2  8 Cu 2.64, 4 Cd 2.82

***

No. 7
Density functional theory data (PBEsol) for a relaxed CdCu2Rh crystal.

Properties
Density of states at the Fermi level in states/eV per cell: 4.74
E_tot in eV for the cell shown: -35.605
Formation enthalpy at 0 K in eV per atom: 0.050

a = 3.8573 Å, b = 3.8573 Å, c = 7.4386 Å
α = 90.00°, β = 90.00°, γ = 90.00°
Last column: nearest neighbours and their distance in Å.
Space group I-4m2 (No. 119)
Inequivalent atoms, fractional coordinates:
Cd  0.0000  0.0000  0.0000 x2  4 Rh 2.68, 8 Cu 2.68-2.73
Cu  0.0000  0.0000  0.5000 x2  4 Cu 2.68, 4 Rh 2.68, 4 Cd 2.73
Cu  0.0000  0.5000  0.2500 x2  4 Cd 2.68, 4 Cu 2.68, 4 Rh 2.73
Rh  0.0000  0.5000  0.7500 x2  4 Cd 2.68, 8 Cu 2.68-2.73

***

No. 8
Density functional theory data (PBEsol) for a relaxed CdCuRu crystal.

Properties
Density of states at the Fermi level in states/eV per cell: 2.37
E_tot in eV for the cell shown: -14.694
Excess energy over the best structure of this formula in the dataset in eV/f.u.: 0.000
Formation enthalpy at 0 K in eV per atom: 0.337

a = 2.7500 Å, b = 2.7500 Å, c = 6.6727 Å
α = 90.00°, β = 90.00°, γ = 120.00°
Last column: nearest neighbours and their distance in Å.
Space group P3m1 (No. 156)
Inequivalent atoms, fractional coordinates:
Cd  0.0000  0.0000  0.0000 x1  6 Cd 2.75, 3 Cu 2.77, 3 Ru 2.85
Cu  0.3333  0.6667  0.6593 x1  3 Ru 2.58, 6 Cu 2.75, 3 Cd 2.77
Ru  0.6667  0.3333  0.3555 x1  3 Cu 2.58, 6 Ru 2.75, 3 Cd 2.85

***

No. 9
Density functional theory data (PBEsol) for a relaxed CdCuRu crystal.

Properties
Density of states at the Fermi level in states/eV per cell: 20.17
E_tot in eV for the cell shown: -51.323
Excess energy over the best structure of this formula in the dataset in eV/f.u.: 1.863
Formation enthalpy at 0 K in eV per atom: 0.958

a = 5.9850 Å, b = 5.9850 Å, c = 5.9850 Å
α = 90.00°, β = 90.00°, γ = 90.00°
Last column: nearest neighbours and their distance in Å.
Space group F-43m (No. 216)
Inequivalent atoms, fractional coordinates:
Cd  0.0000  0.0000  0.0000 x4  4 Ru 2.59
Cu  0.0000  0.0000  0.5000 x4  4 Ru 2.59
Ru  0.2500  0.2500  0.2500 x4  4 Cd 2.59, 4 Cu 2.59

***

No. 10
Density functional theory data (PBEsol) for a relaxed CdCuS2 crystal.

Properties
Formation energy from raw total energies in eV/atom: -0.062
Density of states at the Fermi level in states/eV per cell: 5.51
E_tot in eV for the cell shown: -43.648

a = 3.5463 Å, b = 3.5463 Å, c = 21.5286 Å
α = 90.00°, β = 90.00°, γ = 120.00°
Last column: nearest neighbours and their distance in Å.
Space group R-3m (No. 166, hexagonal axes)
Inequivalent atoms, fractional coordinates:
Cd  0.0000  0.0000  0.0000 x3  2 S 2.38
Cu  0.0000  0.0000  0.5000 x3  6 S 2.38
S  0.0000  0.0000  0.1106 x6  3 Cu 2.38, 1 Cd 2.38

***

No. 11
Density functional theory data (PBEsol) for a relaxed CdCuS2 crystal.

Properties
Formation energy from raw total energies in eV/atom: -0.350
Density of states at the Fermi level in states/eV per cell: 11.58
E_tot in eV for the cell shown: -62.797

a = 5.5023 Å, b = 5.5023 Å, c = 10.7894 Å
α = 90.00°, β = 90.00°, γ = 90.00°
Last column: nearest neighbours and their distance in Å.
Space group I-42d (No. 122)
Inequivalent atoms, fractional coordinates:
Cd  0.0000  0.0000  0.0000 x4  4 S 2.51
Cu  0.0000  0.0000  0.5000 x4  4 S 2.24
S  0.2067  0.2500  0.6250 x8  2 Cu 2.24

***

No. 12
Density functional theory data (PBEsol) for a relaxed CdCu2SiS4 crystal.

Properties
Formation energy from raw total energies in eV/atom: -0.539
E_tot in eV for the cell shown: -74.929

a = 7.5390 Å, b = 6.3892 Å, c = 6.1925 Å
α = 90.00°, β = 90.00°, γ = 90.00°
Last column: nearest neighbours and their distance in Å.
Space group Pmn2_1 (No. 31)
Inequivalent atoms, fractional coordinates:
Cd  0.0000  0.1516  0.0000 x2  4 S 2.51-2.54
Cu  0.2481  0.3247  0.4969 x4  4 S 2.26-2.29
Si  0.0000  0.8193  0.5041 x2  4 S 2.15
S  0.0000  0.1446  0.5932 x2  1 Si 2.15, 2 Cu 2.28
S  0.0000  0.7893  0.1583 x2  1 Si 2.15, 2 Cu 2.27
S  0.2257  0.6570  0.6332 x4  1 Si 2.15, 2 Cu 2.26-2.29

***

No. 13
Density functional theory data (PBEsol) for a relaxed ZnCdCu4Sn2S8 crystal.

Properties
Formation energy from raw total energies in eV/atom: -0.444
Density of states at the Fermi level in states/eV per cell: 1.16
E_tot in eV for the cell shown: -70.817

a = 5.4463 Å, b = 5.4463 Å, c = 10.8063 Å
α = 90.00°, β = 90.00°, γ = 90.00°
Last column: nearest neighbours and their distance in Å.
Space group P-42m (No. 111)
Inequivalent atoms, fractional coordinates:
Zn  0.0000  0.0000  0.0000 x1  4 S 2.35
Cd  0.5000  0.5000  0.5000 x1  4 S 2.51
Cu  0.0000  0.5000  0.2441 x4  4 S 2.27
Sn  0.0000  0.0000  0.5000 x1  4 S 2.45
Sn  0.5000  0.5000  0.0000 x1  4 S 2.44
S  0.2426  0.2426  0.1323 x4  2 Cu 2.27, 1 Zn 2.35, 1 Sn 2.44
S  0.2448  0.2448  0.6441 x4  2 Cu 2.27, 1 Sn 2.45, 1 Cd 2.51

***

No. 14
Density functional theory data (PBEsol) for a relaxed CdCuSb crystal.

Properties
Formation energy from raw total energies in eV/atom: 0.174
Density of states at the Fermi level in states/eV per cell: 5.01
E_tot in eV for the cell shown: -38.271

a = 4.3813 Å, b = 4.4158 Å, c = 12.2302 Å
α = 90.00°, β = 90.00°, γ = 90.00°
Last column: nearest neighbours and their distance in Å.
Space group Fmm2 (No. 42)
Inequivalent atoms, fractional coordinates:
Cd  0.0000  0.0000  0.0000 x4  4 Cu 2.76-2.77
Cu  0.0000  0.0000  0.6372 x4  4 Cd 2.76-2.77, 4 Sb 2.83-2.84
Sb  0.0000  0.0000  0.2832 x4  4 Cu 2.83-2.84, 4 Sb 3.11